# 1
EuInPd: optimized geometry, PBEsol.

```
9
Lattice="4.0747 0.0000 0.0000 0.0000 7.5732 0.0000 0.0000 -3.7866 6.5586" Properties=species:S:1:pos:R:3 pbc="T T T"
Eu 2.0373 2.2308 3.8638
Eu 2.0373 -1.5558 2.6948
Eu 2.0373 3.1116 0.0000
In 0.0000 0.9531 1.6509
In 0.0000 -2.8334 4.9077
In 0.0000 5.6669 0.0000
Pd 0.0000 3.7866 2.1862
Pd 0.0000 0.0000 4.3724
Pd 2.0373 0.0000 0.0000
```

Computed properties:
* energy of formation from the pure elements: -0.73 eV/atom
* DOS(E_F): 2.757 states/eV per atom



# 2
Th5Sn4: optimized geometry, PBEsol.

```
18
Lattice="-0.9874 4.7501 4.3030 -8.3291 2.1013 -4.2308 0.2732 -6.3948 7.1219" Properties=species:S:1:pos:R:3 pbc="T T T"
Th -3.0737 4.1512 2.0421
Th -6.5397 0.4718 5.3085
Th -2.5942 -3.5628 3.3377
Th -5.4617 -0.7307 -0.4466
Th -2.5035 -0.0152 1.8856
Th -0.6640 1.7712 5.2223
Th -6.2427 2.7002 -1.9699
Th -0.0502 -3.4159 6.2026
Th -3.0879 -1.1877 5.4892
Th -5.9554 1.6443 1.7049
Sn -3.8029 1.9305 4.3263
Sn -5.9034 4.8651 0.6047
Sn -0.5712 -0.4013 7.6419
Sn -0.1430 -1.2434 3.7831
Sn -5.2404 -1.4738 2.8678
Sn -0.4937 2.3750 2.1515
Sn -3.4131 1.9863 -0.5326
Sn 0.0000 0.0000 0.0000
```

Computed properties:
* energy of formation from the pure elements: -0.62 eV/atom
* DOS(E_F): 0.927 states/eV per atom



# 3
MgSnBi2: optimized geometry, PBEsol.

```
8
Lattice="-1.7064 2.1621 -6.1295 -5.2961 -4.1362 0.0155 -0.2187 5.7604 5.7763" Properties=species:S:1:pos:R:3 pbc="T T T"
Mg -2.7132 3.4677 -1.7051
Mg -3.5013 -0.9870 -3.0570
Bi -5.3353 -1.3599 -0.8647
Bi -3.5272 1.7725 -3.8896
Bi -1.0599 4.0575 3.5681
Bi -4.5200 3.1026 0.5110
Sn -4.5080 0.3186 1.3674
Sn 0.0000 0.0000 0.0000
```

Computed properties:
* energy of formation from the pure elements: 0.04 eV/atom
* DOS(E_F): 0.058 states/eV per atom



# 4
K3Na4Si3BF22: optimized geometry, PBEsol.

```
33
Lattice="5.5254 0.0000 -0.0001 0.0000 9.2131 -0.0005 -2.7629 -4.6070 8.5436" Properties=species:S:1:pos:R:3 pbc="T T T"
K 2.7633 2.5596 2.1930
K -0.0012 -2.0483 6.3495
K 0.0001 8.7503 -0.0001
Na 2.7655 -1.3591 2.9555
Na 2.7627 0.9580 6.1097
Na 0.0002 5.5647 2.4321
Na -0.0023 3.2479 5.5876
Si 0.0013 0.1428 3.6549
Si -0.0001 1.9351 8.5418
Si 2.7613 4.7497 4.8888
B 5.5250 2.9075 0.0006
F -1.2121 -0.0499 4.8439
F 3.9581 6.5968 1.2194
F 1.5487 4.8761 6.0858
F 1.2143 0.2712 2.4583
F -1.1953 1.9939 7.3206
F 0.0041 1.8167 3.8756
F 4.3155 0.2752 2.4568
F -1.5529 4.8795 6.0870
F 2.7631 8.2586 0.0005
F -0.0035 3.6904 1.1657
F 2.7651 -0.9094 7.3843
F 1.6078 -2.5211 8.5393
F -0.0007 0.2590 8.5394
F 1.2127 -0.0536 4.8453
F 1.2033 1.9937 7.3287
F 3.9745 4.5601 3.6994
F 1.1540 2.0860 0.0009
F 2.7642 3.0360 5.0844
F 1.5499 4.5561 3.6981
F -0.0018 -1.5703 3.4554
F 2.7583 6.4244 4.6716
F 1.5596 6.5978 1.2116
```

Computed properties:
* raw formation energy: -3.1285 eV per atom
* DOS(E_F): 0.000 states/eV per atom



# 5
Zr2CrSb: optimized geometry, PBEsol.

```
4
Lattice="-2.0395 -2.8866 -0.0706 1.9868 -1.3402 -2.5988 3.5696 -2.6218 4.0811" Properties=species:S:1:pos:R:3 pbc="T T T"
Cr 1.7585 -3.4243 0.7059
Sb -0.0263 -2.1134 -1.3347
Zr 0.9385 -0.6893 1.0730
Zr 2.6311 -1.9325 3.0081
```

Computed properties:
* raw formation energy: -0.1727 eV per atom
* DOS(E_F): 0.776 states/eV per atom



# 6
Sr2MgCr: optimized geometry, PBEsol.

```
4
Lattice="-3.2200 2.5963 3.7046 -5.5266 -0.3982 -0.3630 -2.8251 -2.9421 3.7678" Properties=species:S:1:pos:R:3 pbc="T T T"
Cr -5.7858 -0.3720 3.5547
Mg -2.8929 -0.1860 1.7774
Sr 0.0000 0.0000 0.0000
Sr -8.6787 -0.5580 5.3321
```

Computed properties:
* energy of formation from the pure elements: 0.52 eV/atom
* DOS(E_F): 1.266 states/eV per atom



# 7
BeCu2: optimized geometry, PBEsol.

```
6
Lattice="-0.8237 -2.3962 -0.9225 3.5548 -1.4592 0.6161 -3.3402 -0.8052 5.0739" Properties=species:S:1:pos:R:3 pbc="T T T"
Be -1.0550 -1.0361 3.6332
Be 1.2696 -1.2283 2.0569
Cu 0.0000 0.0000 0.0000
Cu 1.3656 -1.9277 -0.1532
Cu -0.9676 -1.7438 1.4525
Cu 0.3585 -2.9167 3.3150
```

Computed properties:
* energy of formation from the pure elements: -0.04 eV/atom
* DOS(E_F): 0.297 states/eV per atom



# 8
KSr2Hg2: optimized geometry, PBEsol.

```
5
Lattice="-2.8011 -2.3149 4.2180 3.8989 -3.9520 0.4203 2.6223 6.6939 1.7408" Properties=species:S:1:pos:R:3 pbc="T T T"
Sr 3.5351 -0.1958 2.2402
Sr 0.1851 0.6228 4.1390
K 0.0000 0.0000 0.0000
Hg 2.4623 2.7645 3.1524
Hg 1.2578 -2.3376 3.2267
```

Computed properties:
* energy of formation from the pure elements: -0.26 eV/atom
* offset from the most stable computed form: 116 meV per atom
* DOS(E_F): 0.881 states/eV per atom



# 9
Zn2Te: optimized geometry, PBEsol.

```
6
Lattice="-1.1632 3.0689 2.3354 -4.9819 0.9028 -3.6677 0.2951 -5.1231 3.4054" Properties=species:S:1:pos:R:3 pbc="T T T"
Te -4.9971 0.4873 -3.1293
Te -3.4448 -1.1028 -0.2667
Zn -2.5855 0.0278 2.1495
Zn -3.4694 -2.9102 2.0962
Zn -2.5355 -1.5591 4.2597
Zn -0.9573 -2.1735 2.3794
```

Computed properties:
* raw formation energy: -0.0031 eV per atom
* offset from the most stable computed form: 0 meV per atom
* DOS(E_F): 0.254 states/eV per atom



# 10
Sb2PtBr: optimized geometry, PBEsol.

```
4
Lattice="3.3370 0.0000 0.0000 0.0000 4.7590 0.0000 0.0000 0.0000 5.5822" Properties=species:S:1:pos:R:3 pbc="T T T"
Sb 0.0000 0.0000 0.0000
Sb 1.6685 2.3795 2.7911
Br 1.6685 2.3795 0.0000
Pt 0.0000 0.0000 2.7911
```

Computed properties:
* raw formation energy: -0.0034 eV per atom
* offset from the most stable computed form: 191 meV per atom
* DOS(E_F): 0.485 states/eV per atom



# 11
MgBeSb2: optimized geometry, PBEsol.

```
4
Lattice="-1.9816 2.0279 -1.8937 -2.7196 -1.8807 0.8318 -1.1564 4.1938 5.7010" Properties=species:S:1:pos:R:3 pbc="T T T"
Sb -0.9111 3.3043 4.4918
Sb -0.2453 0.8895 1.2092
Mg -2.9288 2.1705 2.3196
Be -2.3506 0.0736 -0.5309
```

Computed properties:
* raw formation energy: 0.2711 eV per atom
* offset from the most stable computed form: 216 meV per atom
* DOS(E_F): 0.593 states/eV per atom



# 12
LaAgPb3: optimized geometry, PBEsol.

```
5
Lattice="-3.0980 -1.6097 4.8553 4.6005 -3.3582 1.8221 2.2361 4.6791 2.9780" Properties=species:S:1:pos:R:3 pbc="T T T"
Pb 2.3003 -1.6791 0.9111
Pb 1.1180 2.3396 1.4890
Pb -1.5490 -0.8048 2.4277
Ag 1.8693 -0.1444 4.8277
La 0.0000 0.0000 0.0000
```

Computed properties:
* energy of formation from the pure elements: 0.95 eV/atom
* DOS(E_F): 0.991 states/eV per atom



# 13
ZnGeN2: optimized geometry, PBEsol.

```
16
Lattice="-5.2627 -1.4043 0.5087 0.6755 -3.5807 -4.0860 1.6091 -4.5041 4.2130" Properties=species:S:1:pos:R:3 pbc="T T T"
Zn -0.2876 -6.8985 1.1002
Zn 0.3191 -2.9471 0.2715
Zn -2.6905 -2.5905 -0.4644
Zn -3.2971 -6.5420 0.3642
Ge -1.0379 -5.1949 -1.6585
Ge 1.0544 -4.6085 2.9907
Ge -1.9401 -4.2942 2.2943
Ge -4.0324 -4.8806 -2.3549
N 1.5597 -7.0005 0.3836
N -1.4955 -2.9366 1.0737
N -4.5378 -2.4886 0.2522
N -1.4825 -6.5525 -0.4379
N 0.5163 -4.2476 -1.3267
N -0.5290 -5.4742 2.5826
N -3.4944 -5.2415 1.9625
N -2.4490 -4.0148 -1.9468
```

Computed properties:
* raw formation energy: -0.2643 eV per atom
* DOS(E_F): 0.000 states/eV per atom



# 14
ScNb2AlCu: optimized geometry, PBEsol.

```
5
Lattice="4.6081 0.0000 0.0000 0.0000 4.6081 0.0000 0.0000 0.0000 4.9164" Properties=species:S:1:pos:R:3 pbc="T T T"
Sc 0.0000 0.0000 0.0000
Nb 0.0000 2.3041 0.0000
Nb 2.3041 0.0000 0.0000
Al 0.0000 0.0000 2.4582
Cu 2.3041 2.3041 2.4582
```

Computed properties:
* energy of formation from the pure elements: 1.61 eV/atom
* DOS(E_F): 0.701 states/eV per atom



# 15
Li2SbPt: optimized geometry, PBEsol.

```
4
Lattice="-1.8681 -0.3984 -4.0031 2.4907 -1.0585 -3.5142 -0.3955 -4.0004 -1.8745" Properties=species:S:1:pos:R:3 pbc="T T T"
Sb 0.0000 0.0000 0.0000
Pt 0.1703 -4.0930 -7.0439
Li 0.1135 -2.7286 -4.6959
Li 0.0568 -1.3643 -2.3480
```

Computed properties:
* raw formation energy: -0.6830 eV per atom
* DOS(E_F): 0.329 states/eV per atom



# 16
ScTlRu2: optimized geometry, PBEsol.

```
4
Lattice="-0.6189 3.0050 1.0837 -3.1885 -0.5139 -0.3958 -0.3721 -2.1774 5.8253" Properties=species:S:1:pos:R:3 pbc="T T T"
Ru -0.2813 -1.6461 4.4040
Ru -0.0908 -0.5313 1.4213
Sc -1.9037 1.2455 0.3439
Tl -2.0898 0.1569 3.2566
```

Computed properties:
* energy of formation from the pure elements: 0.04 eV/atom
* DOS(E_F): 1.133 states/eV per atom



# 17
CdAu: optimized geometry, PBEsol.

```
4
Lattice="-0.1688 -0.7984 3.1634 -2.4008 -3.9390 -1.1222 5.0604 -0.5080 -1.5450" Properties=species:S:1:pos:R:3 pbc="T T T"
Au 3.2332 -1.3356 -0.1645
Au -0.7424 -3.9098 0.6606
Cd 2.1338 -3.7724 0.8488
Cd 0.3570 -1.4730 -0.3527
```

Computed properties:
* energy of formation from the pure elements: -0.16 eV/atom
* DOS(E_F): 0.302 states/eV per atom



# 18
ZnNiAu2: optimized geometry, PBEsol.

```
4
Lattice="-1.1732 1.9737 1.6012 -0.4197 -2.7048 3.0267 5.1402 0.2915 0.9732" Properties=species:S:1:pos:R:3 pbc="T T T"
Ni 2.3179 0.4977 0.7662
Zn 3.2928 -0.5057 2.7557
Au 3.8745 2.0996 2.4136
Au 0.5992 -0.1203 2.7266
```

Computed properties:
* energy of formation from the pure elements: -0.09 eV/atom
* DOS(E_F): 0.429 states/eV per atom



# 19
RbTl3Pt: optimized geometry, PBEsol.

```
5
Lattice="-3.9281 3.6905 0.0563 -2.0135 -2.0738 -4.5495 -3.0933 -3.3365 2.8900" Properties=species:S:1:pos:R:3 pbc="T T T"
Tl -1.0068 -1.0369 -2.2747
Tl -1.5466 -1.6683 1.4450
Tl -1.9640 1.8452 0.0281
Rb -4.5174 -0.8599 -0.8016
Pt 0.0000 0.0000 0.0000
```

Computed properties:
* energy of formation from the pure elements: -0.02 eV/atom
* DOS(E_F): 0.680 states/eV per atom



# 20
LiLa2Br: optimized geometry, PBEsol.

```
4
Lattice="-1.0890 1.1991 4.2765 -2.6502 -2.9739 -2.2860 5.6768 -3.3817 2.3938" Properties=species:S:1:pos:R:3 pbc="T T T"
Br -0.5445 0.5996 2.1383
La 2.2333 -3.2914 3.9366
La -0.2957 -1.8651 0.4477
Li 2.8384 -1.6908 1.1969
```

Computed properties:
* raw formation energy: -0.4856 eV per atom
* offset from the most stable computed form: 68 meV per atom
* DOS(E_F): 0.754 states/eV per atom



# 21
RbZnInSe3: optimized geometry, PBEsol.

```
12
Lattice="-2.6953 0.0118 2.9220 -4.1312 -0.6307 -6.5123 0.6470 -10.8548 0.6409" Properties=species:S:1:pos:R:3 pbc="T T T"
Zn -1.2826 -8.1831 1.5543
Zn -4.8970 -3.2906 -4.5037
Se -2.0516 -10.4041 0.8539
Se -0.5001 -2.7892 -0.4500
Se -2.3042 -6.1663 0.6037
Se -5.6794 -8.6845 -2.4995
Se -4.1279 -1.0696 -3.8033
Se -3.8753 -5.3074 -3.5531
Rb -2.3154 -8.4605 -2.1015
Rb -3.8641 -3.0132 -0.8480
In 0.0000 0.0000 0.0000
In 0.3235 -5.4274 0.3204
```

Computed properties:
* raw formation energy: -0.7778 eV per atom



# 22
RbNiRh2W: optimized geometry, PBEsol.

```
5
Lattice="-0.2642 -3.3198 -2.7547 1.8413 -2.8088 3.2085 -4.2548 -0.9775 1.5860" Properties=species:S:1:pos:R:3 pbc="T T T"
Ni -0.1321 -1.6599 -1.3774
Rh -2.1274 -0.4888 0.7930
Rh 0.9207 -1.4044 1.6043
Rb 0.0000 0.0000 0.0000
W -1.3388 -3.5531 1.0199
```

Computed properties:
* energy of formation from the pure elements: 2.88 eV/atom
* DOS(E_F): 1.161 states/eV per atom



# 23
AlTeW2: optimized geometry, PBEsol.

```
4
Lattice="-2.5737 1.6373 1.0835 -1.1018 -3.6064 2.8328 3.9420 1.4231 2.3776" Properties=species:S:1:pos:R:3 pbc="T T T"
Te -0.5509 -1.8032 1.4164
Al -1.2868 0.8187 0.5417
W 1.0854 0.3149 2.1024
W -0.8189 -0.8609 4.1914
```

Computed properties:
* raw formation energy: 0.4815 eV per atom
* offset from the most stable computed form: 0 meV per atom
* DOS(E_F): 0.625 states/eV per atom



# 24
TeOs2Br: optimized geometry, PBEsol.

```
4
Lattice="-0.6307 1.0306 2.6294 -1.8317 -1.9922 -1.2509 5.3045 -7.5293 4.2236" Properties=species:S:1:pos:R:3 pbc="T T T"
Te 2.4571 -3.4877 1.9564
Os 0.1065 -0.1512 0.0848
Os 0.8735 -1.1722 2.2613
Br 3.8888 -5.4522 4.6622
```

Computed properties:
* raw formation energy: 0.9512 eV per atom
* offset from the most stable computed form: 0 meV per atom
* DOS(E_F): 1.135 states/eV per atom



# 25
YZnTe2: optimized geometry, PBEsol.

```
4
Lattice="4.0466 0.0000 0.0000 0.0000 4.1951 0.0000 -2.0233 0.0000 5.9040" Properties=species:S:1:pos:R:3 pbc="T T T"
Y 2.0233 0.0000 0.5346
Zn 2.0233 2.0975 2.8584
Te 2.0233 2.0975 5.5207
Te 0.0000 0.0000 2.8943
```

Computed properties:
* raw formation energy: -0.9490 eV per atom
* offset from the most stable computed form: 0 meV per atom
* DOS(E_F): 0.207 states/eV per atom



# 26
ZrZn2In: optimized geometry, PBEsol.

```
4
Lattice="-0.1654 -2.6509 1.5410 0.4484 -2.0037 -3.3989 5.9869 0.0638 0.7522" Properties=species:S:1:pos:R:3 pbc="T T T"
In 3.1350 -2.2954 -0.5529
Zn 4.5620 0.0486 0.5732
Zn 1.4249 0.0152 0.1790
Zr 0.1415 -2.3273 -0.9290
```

Computed properties:
* energy of formation from the pure elements: -0.08 eV/atom
* DOS(E_F): 0.716 states/eV per atom